# 1
Entry from the Alexandria database: a geometry-optimized LuHS structure (PBE).

Output
The value obtained for the spin magnetization is 0.000 μB per cell. Its volume is 96 Å³ per cell. Its final energy is -4.987 eV per atom.

a = 3.611 Å, b = 3.611 Å, c = 7.334 Å
α = 90.00°, β = 90.00°, γ = 90.00°
Space group I4mm (No. 107)
Unique sites:
Lu: 0.000 0.000 0.000 [2 per cell]
H: 0.000 0.000 0.718 [2 per cell]
S: 0.000 0.000 0.371 [2 per cell]

# 2
Entry from the Alexandria database: a geometry-optimized LuHS structure (PBE).

Output
The value obtained for the spin magnetization is 0.000 μB per cell. Its volume is 237 Å³ per cell. Its final energy is -5.153 eV per atom.

a = 5.262 Å, b = 7.071 Å, c = 6.383 Å
α = 90.00°, β = 90.00°, γ = 90.00°
Space group Aem2 (No. 39)
Unique sites:
Lu: 0.224 0.250 0.000 [4 per cell]
H: 0.499 0.250 0.250 [4 per cell]
S: 0.000 0.000 0.250 [4 per cell]

# 3
Entry from the Alexandria database: a geometry-optimized Lu2SbH structure (PBE).

Output
The value obtained for the spin magnetization is 0.000 μB per cell. Its volume is 260 Å³ per cell. Its final energy is -4.582 eV per atom.

a = 4.0295 Å, b = 4.0295 Å, c = 18.4857 Å
α = 90.00°, β = 90.00°, γ = 120.00°
Space group R-3m (No. 166, hexagonal axes)
Unique sites:
Lu: 0.0000 0.0000 0.2347 [6 per cell]
Sb: 0.0000 0.0000 0.0000 [3 per cell]
H: 0.0000 0.0000 0.5000 [3 per cell]

# 4
Entry from the Alexandria database: a geometry-optimized Lu3ScH structure (PBE).

Output
The value obtained for the spin magnetization is 0.000 μB per cell. Its volume is 111 Å³ per cell. Its final energy is -4.779 eV per atom.

a = 4.806 Å, b = 4.806 Å, c = 4.806 Å
α = 90.00°, β = 90.00°, γ = 90.00°
Space group Pm-3m (No. 221)
Unique sites:
Lu: 0.000 0.000 0.500 [3 per cell]
Sc: 0.500 0.500 0.500 [1 per cell]
H: 0.000 0.000 0.000 [1 per cell]

# 5
Entry from the Alexandria database: a geometry-optimized LuSc2H structure (PBE).

Output
The value obtained for the spin magnetization is 0.000 μB per cell. Its volume is 78 Å³ per cell. Its final energy is -4.989 eV per atom.

a = 3.122 Å, b = 3.122 Å, c = 7.996 Å
α = 90.00°, β = 90.00°, γ = 90.00°
Space group P4/mmm (No. 123)
Unique sites:
Lu: 0.000 0.000 0.000 [1 per cell]
Sc: 0.500 0.500 0.314 [2 per cell]
H: 0.000 0.000 0.500 [1 per cell]

# 6
Entry from the Alexandria database: a geometry-optimized LuSc3H structure (PBE).

Output
The value obtained for the spin magnetization is 0.000 μB per cell. Its volume is 100 Å³ per cell. Its final energy is -5.500 eV per atom.

a = 4.642 Å, b = 4.642 Å, c = 4.642 Å
α = 90.00°, β = 90.00°, γ = 90.00°
Space group Pm-3m (No. 221)
Unique sites:
Lu: 0.000 0.000 0.000 [1 per cell]
Sc: 0.000 0.500 0.500 [3 per cell]
H: 0.500 0.500 0.500 [1 per cell]

# 7
Entry from the Alexandria database: a geometry-optimized LuHSe structure (PBE).

Output
The value obtained for the spin magnetization is 0.000 μB per cell. Its volume is 229 Å³ per cell. Its final energy is -5.065 eV per atom.

a = 10.698 Å, b = 3.883 Å, c = 5.515 Å
α = 90.00°, β = 90.00°, γ = 90.00°
Space group Pnma (No. 62)
Unique sites:
Lu: 0.146 0.250 0.005 [4 per cell]
H: 0.054 0.750 0.003 [4 per cell]
Se: 0.160 0.250 0.505 [4 per cell]

# 8
Entry from the Alexandria database: a geometry-optimized LuHSe structure (PBE).

Output
The value obtained for the spin magnetization is 0.000 μB per cell. Its volume is 47 Å³ per cell. Its final energy is -5.181 eV per atom.

a = 3.7483 Å, b = 3.7483 Å, c = 3.8330 Å
α = 90.00°, β = 90.00°, γ = 120.00°
Space group P-6m2 (No. 187)
Unique sites:
Lu: 0.0000 0.0000 0.0000 [1 per cell]
H: 0.6667 0.3333 0.0000 [1 per cell]
Se: 0.3333 0.6667 0.5000 [1 per cell]

# 9
Entry from the Alexandria database: a geometry-optimized LuHSe structure (PBE).

Output
The value obtained for the spin magnetization is 0.000 μB per cell. Its volume is 110 Å³ per cell. Its final energy is -4.638 eV per atom.

a = 3.811 Å, b = 3.811 Å, c = 7.606 Å
α = 90.00°, β = 90.00°, γ = 90.00°
Space group I4mm (No. 107)
Unique sites:
Lu: 0.000 0.000 0.000 [2 per cell]
H: 0.000 0.000 0.736 [2 per cell]
Se: 0.000 0.000 0.379 [2 per cell]

# 10
Entry from the Alexandria database: a geometry-optimized Lu12Si3H5 structure (PBE).

Output
The value obtained for the spin magnetization is 0.001 μB per cell. Its volume is 3209 Å³ per cell. Its final energy is -4.710 eV per atom.

a = 14.750 Å, b = 14.750 Å, c = 14.750 Å
α = 90.00°, β = 90.00°, γ = 90.00°
Space group Ia-3d (No. 230)
Unique sites:
Lu: 0.038 0.059 0.654 [96 per cell]
Si: 0.000 0.250 0.125 [24 per cell]
H: 0.000 0.000 0.000 [16 per cell]
H: 0.000 0.250 0.375 [24 per cell]

# 11
Entry from the Alexandria database: a geometry-optimized Lu4Si2H structure (PBE).

Output
The value obtained for the spin magnetization is 0.678 μB per cell. Its volume is 283 Å³ per cell. Its final energy is -5.153 eV per atom.

a = 4.295 Å, b = 4.295 Å, c = 15.320 Å
α = 90.00°, β = 90.00°, γ = 90.00°
Space group I4/mmm (No. 139)
Unique sites:
Lu: 0.000 0.000 0.180 [4 per cell]
Lu: 0.000 0.500 0.000 [4 per cell]
Si: 0.000 0.000 0.366 [4 per cell]
H: 0.000 0.000 0.000 [2 per cell]

# 12
Entry from the Alexandria database: a geometry-optimized Sm3Lu5H12 structure (PBE).

Output
The value obtained for the spin magnetization is 0.000 μB per cell. Its volume is 2176 Å³ per cell. Its final energy is -4.303 eV per atom.

a = 12.959 Å, b = 12.959 Å, c = 12.959 Å
α = 90.00°, β = 90.00°, γ = 90.00°
Space group Ia-3d (No. 230)
Unique sites:
Sm: 0.000 0.250 0.125 [24 per cell]
Lu: 0.000 0.000 0.000 [16 per cell]
Lu: 0.000 0.250 0.375 [24 per cell]
H: 0.008 0.065 0.653 [96 per cell]

# 13
Entry from the Alexandria database: a geometry-optimized SmLuH structure (PBE).

Output
The value obtained for the spin magnetization is 0.002 μB per cell. Its volume is 137 Å³ per cell. Its final energy is -4.303 eV per atom.

a = 3.378 Å, b = 3.378 Å, c = 11.996 Å
α = 90.00°, β = 90.00°, γ = 90.00°
Space group I4mm (No. 107)
Unique sites:
Sm: 0.000 0.000 0.000 [2 per cell]
Lu: 0.000 0.000 0.291 [2 per cell]
H: 0.000 0.000 0.473 [2 per cell]

# 14
Entry from the Alexandria database: a geometry-optimized Lu3SnH structure (PBE).

Output
The value obtained for the spin magnetization is 0.947 μB per cell. Its volume is 104 Å³ per cell. Its final energy is -4.600 eV per atom.

a = 4.705 Å, b = 4.705 Å, c = 4.705 Å
α = 90.00°, β = 90.00°, γ = 90.00°
Space group Pm-3m (No. 221)
Unique sites:
Lu: 0.000 0.000 0.500 [3 per cell]
Sn: 0.500 0.500 0.500 [1 per cell]
H: 0.000 0.000 0.000 [1 per cell]

# 15
Entry from the Alexandria database: a geometry-optimized LuSnH structure (PBE).

Output
The value obtained for the spin magnetization is 0.000 μB per cell. Its volume is 54 Å³ per cell. The relative energy among the computed polymorphs is 0 kJ/mol of formula units. Its final energy is -4.560 eV per atom.

a = 3.5328 Å, b = 3.5328 Å, c = 5.0357 Å
α = 90.00°, β = 90.00°, γ = 120.00°
Space group P-6m2 (No. 187)
Unique sites:
Lu: 0.0000 0.0000 0.0000 [1 per cell]
Sn: 0.6667 0.3333 0.5000 [1 per cell]
H: 0.3333 0.6667 0.0000 [1 per cell]

# 16
Entry from the Alexandria database: a geometry-optimized LuSnH structure (PBE).

Output
The value obtained for the spin magnetization is 0.571 μB per cell. Its volume is 112 Å³ per cell. The relative energy among the computed polymorphs is 90 kJ/mol of formula units. Its final energy is -4.247 eV per atom.

a = 3.173 Å, b = 3.173 Å, c = 11.111 Å
α = 90.00°, β = 90.00°, γ = 90.00°
Space group I4mm (No. 107)
Unique sites:
Lu: 0.000 0.000 0.000 [2 per cell]
Sn: 0.000 0.000 0.281 [2 per cell]
H: 0.000 0.000 0.544 [2 per cell]

# 17
Entry from the Alexandria database: a geometry-optimized Lu2TaH structure (PBE).

Output
The value obtained for the spin magnetization is 0.000 μB per cell. Its volume is 224 Å³ per cell. Its final energy is -5.708 eV per atom.

a = 3.1630 Å, b = 3.1630 Å, c = 25.8601 Å
α = 90.00°, β = 90.00°, γ = 120.00°
Space group R-3m (No. 166, hexagonal axes)
Unique sites:
Lu: 0.0000 0.0000 0.1135 [6 per cell]
Ta: 0.0000 0.0000 0.0000 [3 per cell]
H: 0.0000 0.0000 0.5000 [3 per cell]